Entry 1:
TlCu2Te | PBEsol | relaxed

## Properties
symmetry	Immm (71)

Lattice parameters (Å, degrees): 4.189 4.887 4.887 68.45 64.62 64.62
Sites, in units of the cell vectors:
Tl  0.500  0.000  0.000
Cu  0.251  0.749  0.749
Cu  0.749  0.251  0.251
Te  0.000  0.500  0.500

Entry 2:
TlCu2Te2 | PBEsol | relaxed

## Properties
symmetry	I4/mmm (139)

Lattice parameters (Å, degrees): 3.913 3.913 8.126 103.93 103.93 90.00
Sites, in units of the cell vectors:
Te  0.362  0.362  0.724
Te  0.638  0.638  0.276
Cu  0.750  0.250  0.500
Cu  0.250  0.750  0.500
Tl  0.000  0.000  0.000

Entry 3:
TlCuTe | PBEsol | relaxed

## Properties
symmetry	P3m1 (156)

Lattice parameters (Å, degrees): 4.347 4.347 4.833 90.00 90.00 120.00
Sites, in units of the cell vectors:
Te  0.333  0.667  0.833
Tl  0.667  0.333  0.333
Cu  0.000  0.000  0.834

Entry 4:
TlCu3Te2 | PBEsol | relaxed

## Properties
symmetry	Pc (7)

Lattice parameters (Å, degrees): 8.316 8.317 14.224 90.00 89.72 90.00
Sites, in units of the cell vectors:
Cu  0.633  0.608  0.033
Cu  0.863  0.862  0.579
Cu  0.376  0.362  0.793
Cu  0.133  0.392  0.533
Cu  0.115  0.339  0.709
Cu  0.832  0.896  0.210
Cu  0.876  0.638  0.293
Cu  0.632  0.638  0.578
Cu  0.652  0.874  0.928
Cu  0.125  0.121  0.967
Cu  0.756  0.756  0.754
Cu  0.373  0.354  0.416
Cu  0.625  0.879  0.467
Cu  0.152  0.126  0.428
Cu  0.363  0.138  0.079
Cu  0.256  0.244  0.254
Cu  0.873  0.646  0.916
Cu  0.900  0.874  0.034
Cu  0.400  0.126  0.534
Cu  0.615  0.661  0.209
Cu  0.875  0.624  0.467
Cu  0.332  0.104  0.710
Cu  0.132  0.362  0.078
Cu  0.375  0.376  0.967
Te  0.926  0.571  0.642
Te  0.414  0.080  0.884
Te  0.417  0.416  0.616
Te  0.940  0.943  0.857
Te  0.080  0.413  0.884
Te  0.569  0.580  0.859
Te  0.069  0.420  0.359
Te  0.579  0.918  0.109
Te  0.073  0.071  0.145
Te  0.426  0.429  0.142
Te  0.440  0.057  0.357
Te  0.580  0.587  0.384
Te  0.079  0.082  0.609
Te  0.917  0.584  0.116
Te  0.914  0.920  0.384
Te  0.573  0.929  0.645
Tl  0.250  0.751  0.498
Tl  0.249  0.751  0.251
Tl  0.247  0.746  0.998
Tl  0.747  0.254  0.498
Tl  0.749  0.249  0.751
Tl  0.741  0.250  0.249
Tl  0.750  0.249  0.998
Tl  0.241  0.750  0.749

Entry 5:
VCu3Te4 | PBEsol | relaxed

## Properties
symmetry	P-43m (215)

Lattice parameters (Å, degrees): 5.786 5.786 5.786 90.00 90.00 90.00
Sites, in units of the cell vectors:
Te  0.744  0.256  0.744
Te  0.256  0.744  0.744
Te  0.256  0.256  0.256
Te  0.744  0.744  0.256
Cu  0.500  0.000  0.000
Cu  0.000  0.500  0.000
Cu  0.000  0.000  0.500
V  0.000  0.000  0.000

Entry 6:
CuTeW2 | PBEsol | relaxed

## Properties
symmetry	P4/mmm (123)

Lattice parameters (Å, degrees): 3.848 3.848 4.363 90.00 90.00 90.00
Sites, in units of the cell vectors:
Te  0.000  0.000  0.500
Cu  0.500  0.500  0.500
W  0.500  0.000  0.000
W  0.000  0.500  0.000

Entry 7:
CuTeW2 | PBEsol | relaxed

## Properties
symmetry	R3m (160)

Lattice parameters (Å, degrees): 3.154 3.154 8.427 79.22 79.22 60.00
Sites, in units of the cell vectors:
W  0.748  0.748  0.757
W  0.009  0.009  0.974
Cu  0.493  0.493  0.520
Te  0.250  0.250  0.249

Entry 8:
CuTeW2 | PBEsol | relaxed

## Properties
symmetry	P2/m (10)

Lattice parameters (Å, degrees): 2.920 4.413 5.164 90.00 99.37 90.00
Sites, in units of the cell vectors:
Te  0.000  0.500  0.500
W  0.226  0.000  0.232
W  0.774  0.000  0.768
Cu  0.500  0.500  0.000

Entry 9:
YCuTe2 | PBEsol | relaxed

## Properties
symmetry	P3m1 (156)

Lattice parameters (Å, degrees): 4.287 4.287 6.774 90.00 90.00 120.00
Sites, in units of the cell vectors:
Te  0.333  0.667  0.772
Te  0.667  0.333  0.244
Cu  0.667  0.333  0.862
Y  0.000  0.000  0.495

Entry 10:
YCuTe2 | PBEsol | relaxed

## Properties
symmetry	P2/m (10)

Lattice parameters (Å, degrees): 4.267 6.767 7.353 90.07 90.00 90.00
Sites, in units of the cell vectors:
Y  0.500  0.000  0.500
Y  0.000  0.000  0.000
Cu  0.500  0.341  0.835
Cu  0.500  0.659  0.165
Te  0.000  0.729  0.344
Te  0.500  0.733  0.825
Te  0.000  0.271  0.656
Te  0.500  0.267  0.175

Entry 11:
YCuTe2 | PBEsol | relaxed

## Properties
symmetry	R3m (160)

Lattice parameters (Å, degrees): 4.244 4.244 7.533 73.64 73.64 60.00
Sites, in units of the cell vectors:
Cu  0.268  0.268  0.197
Te  0.766  0.766  0.701
Te  0.954  0.954  0.138
Y  0.512  0.512  0.463

Entry 12:
YCuTe2 | PBEsol | relaxed

## Properties
symmetry	F-43m (216)

Lattice parameters (Å, degrees): 5.123 5.123 5.123 60.00 60.00 60.00
Sites, in units of the cell vectors:
Te  0.000  0.000  0.000
Te  0.250  0.250  0.250
Y  0.750  0.750  0.750
Cu  0.500  0.500  0.500

Entry 13:
YCu3Te3 | PBEsol | relaxed

## Properties
symmetry	R-3 (148)

Lattice parameters (Å, degrees): 7.300 7.300 8.066 63.10 63.10 60.00
Sites, in units of the cell vectors:
Te  0.896  0.275  0.255
Te  0.275  0.575  0.255
Te  0.725  0.425  0.745
Te  0.104  0.725  0.745
Te  0.425  0.104  0.745
Te  0.575  0.896  0.255
Cu  0.020  0.355  0.878
Cu  0.747  0.020  0.878
Cu  0.645  0.253  0.122
Cu  0.355  0.747  0.878
Cu  0.980  0.645  0.122
Cu  0.253  0.980  0.122
Y  0.836  0.836  0.491
Y  0.164  0.164  0.509

Entry 14:
YCuTe2 | PBEsol | relaxed

## Properties
symmetry	I-4m2 (119)

Lattice parameters (Å, degrees): 4.169 4.169 6.104 109.97 109.97 90.00
Sites, in units of the cell vectors:
Te  0.000  0.000  0.000
Te  0.750  0.250  0.500
Y  0.500  0.500  0.000
Cu  0.250  0.750  0.500

ΔE_f (raw) (computed, eV/atom): 0.301; -0.127; -0.095; -0.059; -0.199; 0.845; 0.602; 0.804; -0.880; -0.892; -0.739; -0.206; -0.495; -0.532
Electronic total energy (computed, eV/atom): -3.405; -3.797; -3.592; -3.840; -4.791; -8.024; -8.267; -8.065; -5.432; -5.444; -5.291; -4.758; -4.838; -5.084